# PBE Sn6PtRh2, relaxed
# Fermi-level density of states	5.82	states/eV per cell
# energy above the lowest structure with this stoichiometry	34	meV/atom
# DFT total energy	-5.28	eV/atom
# M_tot	0.00	μB/f.u.
# ρ	9.125	g cm⁻³
data_Sn6PtRh2
_cell_length_a 6.784
_cell_length_b 6.682
_cell_length_c 9.292
_cell_angle_alpha 90.00
_cell_angle_beta 105.84
_cell_angle_gamma 90.00
_space_group_name_H-M_alt 'P 1'
_space_group_IT_number 1
_space_group_name_Hall 'P 1'
loop_
_atom_site_label
_atom_site_fract_x
_atom_site_fract_y
_atom_site_fract_z
Sn1 0.797 0.965 0.210
Sn2 0.806 0.679 0.589
Sn3 0.829 0.670 0.927
Sn4 0.671 0.170 0.573
Sn5 0.694 0.179 0.911
Sn6 0.703 0.465 0.290
Sn7 0.203 0.035 0.790
Sn8 0.194 0.321 0.411
Sn9 0.171 0.330 0.073
Sn10 0.329 0.830 0.427
Sn11 0.306 0.821 0.089
Sn12 0.297 0.535 0.710
Pt1 0.500 0.500 0.000
Pt2 0.000 0.000 0.500
Rh1 0.972 0.369 0.776
Rh2 0.528 0.869 0.724
Rh3 0.472 0.131 0.276
Rh4 0.028 0.631 0.224

=====

# PBE SnPt7Rh4, relaxed
# Fermi-level density of states	16.48	states/eV per cell
# DFT total energy	-6.14	eV/atom
# M_tot	0.00	μB/f.u.
# ρ	15.418	g cm⁻³
data_SnPt7Rh4
_cell_length_a 4.878
_cell_length_b 8.685
_cell_length_c 5.584
_cell_angle_alpha 84.19
_cell_angle_beta 64.10
_cell_angle_gamma 73.69
_space_group_name_H-M_alt 'P 1'
_space_group_IT_number 1
_space_group_name_Hall 'P 1'
loop_
_atom_site_label
_atom_site_fract_x
_atom_site_fract_y
_atom_site_fract_z
Sn1 0.000 0.000 0.000
Pt1 0.795 0.919 0.491
Pt2 0.205 0.081 0.509
Pt3 0.038 0.617 0.307
Pt4 0.962 0.383 0.693
Pt5 0.343 0.547 0.768
Pt6 0.500 0.000 0.000
Pt7 0.657 0.453 0.232
Rh1 0.574 0.233 0.618
Rh2 0.426 0.767 0.382
Rh3 0.727 0.686 0.860
Rh4 0.273 0.314 0.140